No. 1
Entry from Alexandria via LeMat-Bulk: an optimized crystal structure of HfHgO2 (GGA-PBE).

Formation energy (no corrections)   -2.44 eV/atom
V   18.6 Å³/atom

Structure (extended XYZ):
```
4
Lattice="-4.419 6.155 3.699 -1.396 7.223 4.119 -2.939 7.789 1.334" Properties=species:S:1:pos:R:3 pbc="T T T"
Hf -4.377 10.584 4.575
O -1.118 2.704 1.169
O -7.635 18.464 7.982
Hg 0.000 0.000 0.000
```

---

No. 2
Entry from Alexandria via LeMat-Bulk: an optimized crystal structure of HfHg2O4 (GGA-PBE).

Formation energy (no corrections)   -1.44 eV/atom
V   14.6 Å³/atom

Structure (extended XYZ):
```
7
Lattice="4.171 0.000 0.000 0.000 4.171 0.000 2.086 2.086 5.889" Properties=species:S:1:pos:R:3 pbc="T T T"
Hg 2.086 2.086 1.744
Hg 4.171 4.171 4.145
O 0.000 2.086 0.000
O 2.086 0.000 0.000
O 4.171 4.171 2.044
O 2.086 2.086 3.845
Hf 0.000 0.000 0.000
```